1.
# Li3Y

A relaxed Li3Y crystal (PBE-GGA, the Alexandria database).

```
Li3Y
1.0
-3.273 3.820 0.715
-4.313 0.186 -2.681
-4.453 -0.865 2.289
Li Y
3 1
Direct
0.000 0.000 0.000
0.250 0.250 0.250
0.500 0.500 0.500
0.750 0.750 0.750
```

Output
E_tot, Ry/atom: -0.2094
Polymorph energy (0 for the lowest one), meV per atom: 158
ΔH_f (0 K), kJ per mole of atoms: 20


2.
# LiY5

A relaxed LiY5 crystal (PBE-GGA, the Alexandria database).

```
LiY5
1.0
2.437 -7.590 0.000
2.437 7.590 0.000
0.000 0.000 5.012
Li Y
1 5
Direct
0.500 0.500 0.000
0.330 0.670 0.500
0.166 0.834 0.000
0.000 0.000 0.500
0.834 0.166 0.000
0.670 0.330 0.500
```

Output
E_tot, Ry/atom: -0.4104
Polymorph energy (0 for the lowest one), meV per atom: 72
ΔH_f (0 K), kJ per mole of atoms: 12


3.
# LiY

A relaxed LiY crystal (PBE-GGA, the Alexandria database).

```
LiY
1.0
5.307 0.013 0.009
2.641 4.603 0.009
2.641 1.534 4.339
Li Y
2 2
Direct
0.125 0.125 0.125
0.875 0.875 0.875
0.375 0.375 0.375
0.625 0.625 0.625
```

Output
E_tot, Ry/atom: -0.2856
Polymorph energy (0 for the lowest one), meV per atom: 247
ΔH_f (0 K), kJ per mole of atoms: 29


4.
# Li3Y

A relaxed Li3Y crystal (PBE-GGA, the Alexandria database).

```
Li3Y
1.0
3.833 -4.685 0.000
3.833 4.685 0.000
0.000 0.000 5.492
Li Y
6 2
Direct
0.963 0.037 0.750
0.037 0.963 0.250
0.106 0.552 0.750
0.894 0.448 0.250
0.448 0.894 0.750
0.552 0.106 0.250
0.409 0.591 0.250
0.591 0.409 0.750
```

Output
E_tot, Ry/atom: -0.2056
Polymorph energy (0 for the lowest one), meV per atom: 210
ΔH_f (0 K), kJ per mole of atoms: 25


5.
# LiY3

A relaxed LiY3 crystal (PBE-GGA, the Alexandria database).

```
LiY3
1.0
5.803 0.032 0.000
-1.356 5.642 0.000
0.000 0.000 3.659
Li Y
1 3
Direct
0.000 0.000 0.000
0.000 0.500 0.500
0.500 0.000 0.500
0.500 0.500 0.000
```

Output
E_tot, Ry/atom: -0.3805
Polymorph energy (0 for the lowest one), meV per atom: 90
ΔH_f (0 K), kJ per mole of atoms: 14


6.
# LiY

A relaxed LiY crystal (PBE-GGA, the Alexandria database).

```
LiY
1.0
6.009 0.000 0.000
0.000 6.009 0.000
0.000 0.000 5.924
Li Y
4 4
Direct
0.327 0.673 0.000
0.827 0.827 0.500
0.173 0.173 0.500
0.673 0.327 0.000
0.196 0.196 0.000
0.696 0.304 0.500
0.304 0.696 0.500
0.804 0.804 0.000
```

Output
E_tot, Ry/atom: -0.2811
Polymorph energy (0 for the lowest one), meV per atom: 308
ΔH_f (0 K), kJ per mole of atoms: 35


7.
# LiY

A relaxed LiY crystal (PBE-GGA, the Alexandria database).

```
LiY
1.0
4.635 0.000 0.000
2.318 4.014 0.000
2.318 1.338 3.784
Li Y
1 1
Direct
0.000 0.000 0.000
0.750 0.750 0.750
```

Output
E_tot, Ry/atom: -0.2174
Polymorph energy (0 for the lowest one), meV per atom: 1175
ΔH_f (0 K), kJ per mole of atoms: 119


8.
# LiY3

A relaxed LiY3 crystal (PBE-GGA, the Alexandria database).

```
LiY3
1.0
-1.176 1.318 -5.221
-5.137 -0.604 -1.904
-3.073 4.443 -1.096
Li Y
1 3
Direct
0.000 0.000 0.000
0.250 0.250 0.250
0.750 0.750 0.750
0.500 0.500 0.500
```

Output
E_tot, Ry/atom: -0.3775
Polymorph energy (0 for the lowest one), meV per atom: 131
ΔH_f (0 K), kJ per mole of atoms: 18


9.
# LiY

A relaxed LiY crystal (PBE-GGA, the Alexandria database).

```
LiY
1.0
-2.018 -0.117 -2.711
3.165 -0.687 -0.970
-1.653 -9.958 1.662
Li Y
2 2
Direct
0.000 0.000 0.980
0.500 0.500 0.770
0.000 0.000 0.511
0.500 0.500 0.239
```

Output
E_tot, Ry/atom: -0.2991
Polymorph energy (0 for the lowest one), meV per atom: 63
ΔH_f (0 K), kJ per mole of atoms: 12


10.
# LiY

A relaxed LiY crystal (PBE-GGA, the Alexandria database).

```
LiY
1.0
3.689 0.000 0.000
0.000 3.677 0.286
0.000 -0.598 7.687
Y Li
2 2
Direct
0.250 0.250 0.649
0.750 0.750 0.351
0.250 0.250 0.086
0.750 0.750 0.914
```

Output
E_tot, Ry/atom: -0.3038
Polymorph energy (0 for the lowest one), meV per atom: 0
ΔH_f (0 K), kJ per mole of atoms: 5


11.
# Li3YZn8

A relaxed Li3YZn8 crystal (PBE-GGA, the Alexandria database).

```
Li3YZn8
1.0
4.983 0.000 1.504
2.264 4.439 1.504
-0.049 -0.030 9.167
Li Y Zn
3 1 8
Direct
0.375 0.375 0.876
0.004 0.004 0.989
0.494 0.494 0.519
0.875 0.875 0.374
0.941 0.439 0.181
0.435 0.937 0.692
0.439 0.439 0.181
0.937 0.937 0.692
0.187 0.187 0.440
0.688 0.688 0.935
0.439 0.941 0.181
0.937 0.435 0.692
```

Output
E_tot, Ry/atom: -0.1531
ΔH_f (0 K), kJ per mole of atoms: -21


12.
# LiY2Zn2

A relaxed LiY2Zn2 crystal (PBE-GGA, the Alexandria database).

```
LiY2Zn2
1.0
-2.134 -0.206 -3.109
2.046 -2.935 -1.210
-5.348 -6.913 1.834
Y Zn Li
2 2 1
Direct
0.393 0.393 0.213
0.607 0.607 0.787
0.750 0.250 0.500
0.250 0.750 0.500
0.000 0.000 0.000
```

Output
E_tot, Ry/atom: -0.2493
Polymorph energy (0 for the lowest one), meV per atom: 302
ΔH_f (0 K), kJ per mole of atoms: 8


13.
# LiY2Zn2

A relaxed LiY2Zn2 crystal (PBE-GGA, the Alexandria database).

```
LiY2Zn2
1.0
-6.715 -1.726 3.439
2.877 -6.846 2.182
1.293 1.605 3.330
Y Zn Li
4 4 2
Direct
0.163 0.663 0.500
0.663 0.837 0.500
0.837 0.337 0.500
0.337 0.163 0.500
0.368 0.868 0.000
0.868 0.632 0.000
0.632 0.132 0.000
0.132 0.368 0.000
0.000 0.000 0.000
0.500 0.500 0.000
```

Output
E_tot, Ry/atom: -0.2715
Polymorph energy (0 for the lowest one), meV per atom: 0
ΔH_f (0 K), kJ per mole of atoms: -21


14.
# LiYZn11

A relaxed LiYZn11 crystal (PBE-GGA, the Alexandria database).

```
LiYZn11
1.0
-3.316 0.355 -4.033
0.211 -5.463 -4.012
-6.114 -2.512 1.411
Li Y Zn
1 1 11
Direct
0.500 0.500 0.000
0.000 0.000 0.000
0.286 0.220 0.216
0.714 0.780 0.784
0.498 0.780 0.216
0.502 0.220 0.784
0.359 0.646 0.649
0.641 0.354 0.351
0.992 0.354 0.649
0.008 0.646 0.351
0.000 0.500 0.000
0.500 0.000 0.500
0.000 0.000 0.500
```

Output
E_tot, Ry/atom: -0.1411
ΔH_f (0 K), kJ per mole of atoms: -19


15.
# Li2YZn

A relaxed Li2YZn crystal (PBE-GGA, the Alexandria database).

```
Li2YZn
1.0
4.158 0.000 0.000
0.000 4.158 0.000
2.079 2.079 10.353
Y Zn Li
2 2 4
Direct
0.000 0.000 0.000
0.750 0.250 0.500
0.500 0.500 0.000
0.250 0.750 0.500
0.557 0.125 0.250
0.193 0.625 0.250
0.375 0.443 0.750
0.875 0.807 0.750
```

Output
E_tot, Ry/atom: -0.2066
ΔH_f (0 K), kJ per mole of atoms: 8


16.
# Li2YZn

A relaxed Li2YZn crystal (PBE-GGA, the Alexandria database).

```
Li2YZn
1.0
-8.787 0.009 5.139
-7.023 -1.793 7.148
-6.906 1.423 7.343
Li Y Zn
2 1 1
Direct
0.010 0.010 0.010
0.490 0.490 0.490
0.250 0.250 0.250
0.750 0.750 0.750
```

Output
E_tot, Ry/atom: -0.2041
ΔH_f (0 K), kJ per mole of atoms: 11


17.
# Li3YZn3

A relaxed Li3YZn3 crystal (PBE-GGA, the Alexandria database).

```
Li3YZn3
1.0
6.565 0.000 0.000
0.000 6.565 0.000
0.000 0.000 6.565
Y Zn Li
2 6 6
Direct
0.500 0.500 0.500
0.000 0.000 0.000
0.000 0.250 0.500
0.000 0.750 0.500
0.500 0.000 0.750
0.750 0.500 0.000
0.500 0.000 0.250
0.250 0.500 0.000
0.250 0.000 0.500
0.000 0.500 0.250
0.500 0.750 0.000
0.750 0.000 0.500
0.000 0.500 0.750
0.500 0.250 0.000
```

Output
E_tot, Ry/atom: -0.1510
ΔH_f (0 K), kJ per mole of atoms: 23


18.
# LiY2Zn2

A relaxed LiY2Zn2 crystal (PBE-GGA, the Alexandria database).

```
LiY2Zn2
1.0
5.643 0.000 0.000
0.000 5.643 0.000
2.822 2.822 3.866
Y Zn Li
2 2 1
Direct
0.750 0.250 0.500
0.250 0.750 0.500
0.349 0.349 0.302
0.651 0.651 0.698
0.000 0.000 0.000
```

Output
E_tot, Ry/atom: -0.2564
Polymorph energy (0 for the lowest one), meV per atom: 205
ΔH_f (0 K), kJ per mole of atoms: -1


19.
# Li3YZn

A relaxed Li3YZn crystal (PBE-GGA, the Alexandria database).

```
Li3YZn
1.0
-2.691 4.617 -2.212
-2.342 -3.332 -4.106
-4.552 -1.015 3.420
Y Zn Li
1 1 3
Direct
0.000 0.000 0.000
0.500 0.500 0.500
0.000 0.500 0.000
0.000 0.000 0.500
0.500 0.000 0.000
```

Output
E_tot, Ry/atom: -0.1139
Polymorph energy (0 for the lowest one), meV per atom: 977
ΔH_f (0 K), kJ per mole of atoms: 111


20.
# LiYZn

A relaxed LiYZn crystal (PBE-GGA, the Alexandria database).

```
LiYZn
1.0
-3.420 -1.824 -2.686
-3.201 -2.894 1.901
-4.455 1.447 0.550
Li Y Zn
1 1 1
Direct
0.000 0.000 0.000
0.500 0.500 0.500
0.750 0.750 0.750
```

Output
E_tot, Ry/atom: -0.2310
Polymorph energy (0 for the lowest one), meV per atom: 198
ΔH_f (0 K), kJ per mole of atoms: 7